Compound: Cu3P
Source: the Alexandria database
Functional: PBE
Structure: optimized geometry

Its formation energy is 0.10 eV/atom. The density of states at the Fermi level is 1.10 states/eV/f.u.

It has space group Imm2 (No. 44), with a = 2.647 Å, b = 8.196 Å, c = 4.573 Å, α = 90.00°, β = 90.00° and γ = 90.00°. Symmetry generates all atoms from Cu at (0.000, 0.000, 0.000), Cu at (0.000, 0.240, 0.648) and P at (0.000, 0.500, 0.965).


Compound: InTe2Pd2
Source: the Alexandria database
Functional: PBE
Structure: optimized geometry

The energy relative to the elements, uncorrected comes out at -0.146 eV per atom. The density of states at the Fermi level is 4.66 states/eV/f.u.

It has space group P4/mbm (No. 127), with a = 7.508 Å, b = 7.508 Å, c = 3.904 Å, α = 90.00°, β = 90.00° and γ = 90.00°. Symmetry generates all atoms from In at (0.000, 0.000, 0.000), Te at (0.167, 0.333, 0.500) and Pd at (0.133, 0.633, 0.000).